# 1
VASP calculation (PBE) on a geometry-optimized BaLiZn2Ru structure.

## Properties
DOS at the Fermi energy: 0.59 states/eV per atom
raw total energy: -15.5 eV for the cell shown
SG: P4/mmm
ΔH_f (0 K): 0.1 eV per formula unit
spin magnetization: 0.000 Bohr magnetons per cell

Lattice parameters (Å, degrees): 4.9396 4.9396 4.8685 90.00 90.00 90.00
Closest atoms and distances in Å follow each position.
Sites, in units of the cell vectors:
Ba: 0.0000 0.0000 0.0000  8 Zn 3.47, 4 Li 3.49
Li: 0.5000 0.5000 0.0000  2 Ru 2.43
Zn: 0.0000 0.5000 0.5000  2 Ru 2.47
Zn: 0.5000 0.0000 0.5000  2 Ru 2.47
Ru: 0.5000 0.5000 0.5000  2 Li 2.43, 4 Zn 2.47

# 2
VASP calculation (PBE) on a geometry-optimized LaZnGe2Pd structure.

## Properties
DOS at the Fermi energy: 0.25 states/eV per atom
raw total energy: -24.2 eV for the cell shown
SG: I-4m2
ΔH_f (0 K): -3.6 eV per formula unit
spin magnetization: 0.000 Bohr magnetons per cell

Lattice parameters (Å, degrees): 6.1552 6.1552 6.1552 139.28 139.28 58.95
Closest atoms and distances in Å follow each position.
Sites, in units of the cell vectors:
La: 0.0000 0.0000 0.0000  8 Ge 3.28, 4 Pd 3.43, 4 Zn 3.43
Zn: 0.2500 0.7500 0.5000  4 Ge 2.56
Ge: 0.3816 0.3816 0.0000  1 Ge 2.54, 2 Pd 2.56, 2 Zn 2.56
Ge: 0.6184 0.6184 0.0000  1 Ge 2.54, 2 Pd 2.56, 2 Zn 2.56
Pd: 0.7500 0.2500 0.5000  4 Ge 2.56

# 3
VASP calculation (PBE) on a geometry-optimized CaZr3Bi structure.

## Properties
energy relative to the lowest polymorph listed for this composition: 0.0 kJ/mol of atoms
DOS at the Fermi energy: 1.30 states/eV per atom
raw total energy: -27.8 eV for the cell shown
SG: Pm-3m
ΔH_f (0 K): 3.8 eV per formula unit
spin magnetization: 0.000 Bohr magnetons per cell

Lattice parameters (Å, degrees): 5.5027 5.5027 5.5027 90.00 90.00 90.00
Closest atoms and distances in Å follow each position.
Sites, in units of the cell vectors:
Ca: 0.0000 0.0000 0.0000  12 Zr 3.89
Zr: 0.0000 0.5000 0.5000  2 Bi 2.75
Zr: 0.5000 0.0000 0.5000  2 Bi 2.75
Zr: 0.5000 0.5000 0.0000  2 Bi 2.75
Bi: 0.5000 0.5000 0.5000  6 Zr 2.75